w | # SrMgMoOs (GGA-PBE, optimized geometry)
data_SrMgMoOs
_chemical_formula_sum 'Sr4 Mg4 Mo4 Os4'
_cell_length_a 6.8578
_cell_length_b 6.8578
_cell_length_c 6.8578
_cell_angle_alpha 90.00
_cell_angle_beta 90.00
_cell_angle_gamma 90.00
_symmetry_space_group_name_H-M 'F -4 3 m'
_symmetry_Int_Tables_number 216
_symmetry_space_group_name_Hall 'F -4 2 3'
loop_
_atom_site_label
_atom_site_fract_x
_atom_site_fract_y
_atom_site_fract_z
Sr1 0.0000 0.0000 0.0000
Mg1 0.0000 0.0000 0.5000
Mo1 0.2500 0.2500 0.7500
Os1 0.2500 0.2500 0.2500
# Total moment   3.2 μB/f.u.
# Theoretical density   8.2 Mg/m³

x | # SrMgMoOs (GGA-PBE, optimized geometry)
data_SrMgMoOs
_chemical_formula_sum 'Sr4 Mg4 Mo4 Os4'
_cell_length_a 6.7797
_cell_length_b 6.7797
_cell_length_c 6.7797
_cell_angle_alpha 90.00
_cell_angle_beta 90.00
_cell_angle_gamma 90.00
_symmetry_space_group_name_H-M 'F -4 3 m'
_symmetry_Int_Tables_number 216
_symmetry_space_group_name_Hall 'F -4 2 3'
loop_
_atom_site_label
_atom_site_fract_x
_atom_site_fract_y
_atom_site_fract_z
Sr1 0.0000 0.0000 0.0000
Mg1 0.2500 0.2500 0.7500
Mo1 0.0000 0.0000 0.5000
Os1 0.2500 0.2500 0.2500
# Total moment   0.0 μB/f.u.
# Theoretical density   8.5 Mg/m³

Here are the energies relative to the best structure, in kJ/mol of atoms: w 38.3; x 0.0.

w | # MgPaMo (GGA-PBE, optimized geometry)
data_MgPaMo
_chemical_formula_sum 'Mg4 Pa4 Mo4'
_cell_length_a 6.4984
_cell_length_b 6.4984
_cell_length_c 6.4984
_cell_angle_alpha 90.00
_cell_angle_beta 90.00
_cell_angle_gamma 90.00
_symmetry_space_group_name_H-M 'F -4 3 m'
_symmetry_Int_Tables_number 216
_symmetry_space_group_name_Hall 'F -4 2 3'
loop_
_atom_site_label
_atom_site_fract_x
_atom_site_fract_y
_atom_site_fract_z
Mg1 0.0000 0.0000 0.0000
Pa1 0.0000 0.0000 0.5000
Mo1 0.2500 0.2500 0.2500
# Total moment   0.0 μB/f.u.
# Theoretical density   8.5 Mg/m³

x | # MgPaMo (GGA-PBE, optimized geometry)
data_MgPaMo
_chemical_formula_sum 'Mg4 Pa4 Mo4'
_cell_length_a 6.6012
_cell_length_b 6.6012
_cell_length_c 6.6012
_cell_angle_alpha 90.00
_cell_angle_beta 90.00
_cell_angle_gamma 90.00
_symmetry_space_group_name_H-M 'F -4 3 m'
_symmetry_Int_Tables_number 216
_symmetry_space_group_name_Hall 'F -4 2 3'
loop_
_atom_site_label
_atom_site_fract_x
_atom_site_fract_y
_atom_site_fract_z
Mg1 0.0000 0.0000 0.0000
Pa1 0.2500 0.2500 0.2500
Mo1 0.0000 0.0000 0.5000
# Total moment   0.0 μB/f.u.
# Theoretical density   8.1 Mg/m³

Here are the energies relative to the best structure, in kJ/mol of atoms: w 0.0; x 67.1.

w | # MgMoPbW (GGA-PBE, optimized geometry)
data_MgMoPbW
_chemical_formula_sum 'Mg4 Mo4 Pb4 W4'
_cell_length_a 6.6300
_cell_length_b 6.6300
_cell_length_c 6.6300
_cell_angle_alpha 90.00
_cell_angle_beta 90.00
_cell_angle_gamma 90.00
_symmetry_space_group_name_H-M 'F -4 3 m'
_symmetry_Int_Tables_number 216
_symmetry_space_group_name_Hall 'F -4 2 3'
loop_
_atom_site_label
_atom_site_fract_x
_atom_site_fract_y
_atom_site_fract_z
Mg1 0.0000 0.0000 0.0000
Mo1 0.2500 0.2500 0.2500
Pb1 0.0000 0.0000 0.5000
W1 0.2500 0.2500 0.7500
# Total moment   0.3 μB/f.u.
# Theoretical density   11.7 Mg/m³

x | # MgMoPbW (GGA-PBE, optimized geometry)
data_MgMoPbW
_chemical_formula_sum 'Mg4 Mo4 Pb4 W4'
_cell_length_a 6.6032
_cell_length_b 6.6032
_cell_length_c 6.6032
_cell_angle_alpha 90.00
_cell_angle_beta 90.00
_cell_angle_gamma 90.00
_symmetry_space_group_name_H-M 'F -4 3 m'
_symmetry_Int_Tables_number 216
_symmetry_space_group_name_Hall 'F -4 2 3'
loop_
_atom_site_label
_atom_site_fract_x
_atom_site_fract_y
_atom_site_fract_z
Mg1 0.0000 0.0000 0.0000
Mo1 0.0000 0.0000 0.5000
Pb1 0.2500 0.2500 0.2500
W1 0.2500 0.2500 0.7500
# Total moment   0.0 μB/f.u.
# Theoretical density   11.8 Mg/m³

Here are the energies relative to the best structure, in kJ/mol of atoms: w 39.3; x 0.0.

w | # PmMgMo (GGA-PBE, optimized geometry)
data_PmMgMo
_chemical_formula_sum 'Pm4 Mg4 Mo4'
_cell_length_a 6.9044
_cell_length_b 6.9044
_cell_length_c 6.9044
_cell_angle_alpha 90.00
_cell_angle_beta 90.00
_cell_angle_gamma 90.00
_symmetry_space_group_name_H-M 'F -4 3 m'
_symmetry_Int_Tables_number 216
_symmetry_space_group_name_Hall 'F -4 2 3'
loop_
_atom_site_label
_atom_site_fract_x
_atom_site_fract_y
_atom_site_fract_z
Pm1 0.0000 0.0000 0.0000
Mg1 0.0000 0.0000 0.5000
Mo1 0.2500 0.2500 0.7500
# Total moment   2.9 μB/f.u.
# Theoretical density   5.4 Mg/m³

x | # PmMgMo (GGA-PBE, optimized geometry)
data_PmMgMo
_chemical_formula_sum 'Pm4 Mg4 Mo4'
_cell_length_a 7.0000
_cell_length_b 7.0000
_cell_length_c 7.0000
_cell_angle_alpha 90.00
_cell_angle_beta 90.00
_cell_angle_gamma 90.00
_symmetry_space_group_name_H-M 'F -4 3 m'
_symmetry_Int_Tables_number 216
_symmetry_space_group_name_Hall 'F -4 2 3'
loop_
_atom_site_label
_atom_site_fract_x
_atom_site_fract_y
_atom_site_fract_z
Pm1 0.0000 0.0000 0.0000
Mg1 0.2500 0.2500 0.7500
Mo1 0.2500 0.2500 0.2500
# Total moment   3.0 μB/f.u.
# Theoretical density   5.1 Mg/m³

Here are the energies relative to the best structure, in kJ/mol of atoms: w 0.0; x 38.8.

w | # YMgReMo (GGA-PBE, optimized geometry)
data_YMgReMo
_chemical_formula_sum 'Y4 Mg4 Re4 Mo4'
_cell_length_a 6.7002
_cell_length_b 6.7002
_cell_length_c 6.7002
_cell_angle_alpha 90.00
_cell_angle_beta 90.00
_cell_angle_gamma 90.00
_symmetry_space_group_name_H-M 'F -4 3 m'
_symmetry_Int_Tables_number 216
_symmetry_space_group_name_Hall 'F -4 2 3'
loop_
_atom_site_label
_atom_site_fract_x
_atom_site_fract_y
_atom_site_fract_z
Y1 0.0000 0.0000 0.0000
Mg1 0.0000 0.0000 0.5000
Re1 0.2500 0.2500 0.7500
Mo1 0.2500 0.2500 0.2500
# Total moment   1.7 μB/f.u.
# Theoretical density   8.7 Mg/m³

x | # YMgReMo (GGA-PBE, optimized geometry)
data_YMgReMo
_chemical_formula_sum 'Y4 Mg4 Re4 Mo4'
_cell_length_a 6.6406
_cell_length_b 6.6406
_cell_length_c 6.6406
_cell_angle_alpha 90.00
_cell_angle_beta 90.00
_cell_angle_gamma 90.00
_symmetry_space_group_name_H-M 'F -4 3 m'
_symmetry_Int_Tables_number 216
_symmetry_space_group_name_Hall 'F -4 2 3'
loop_
_atom_site_label
_atom_site_fract_x
_atom_site_fract_y
_atom_site_fract_z
Y1 0.0000 0.0000 0.0000
Mg1 0.2500 0.2500 0.2500
Re1 0.0000 0.0000 0.5000
Mo1 0.2500 0.2500 0.7500
# Total moment   0.0 μB/f.u.
# Theoretical density   9.0 Mg/m³

Here are the energies relative to the best structure, in kJ/mol of atoms: w 45.4; x 0.0.

w | # YMgTcMo (GGA-PBE, optimized geometry)
data_YMgTcMo
_chemical_formula_sum 'Y4 Mg4 Tc4 Mo4'
_cell_length_a 6.7089
_cell_length_b 6.7089
_cell_length_c 6.7089
_cell_angle_alpha 90.00
_cell_angle_beta 90.00
_cell_angle_gamma 90.00
_symmetry_space_group_name_H-M 'F -4 3 m'
_symmetry_Int_Tables_number 216
_symmetry_space_group_name_Hall 'F -4 2 3'
loop_
_atom_site_label
_atom_site_fract_x
_atom_site_fract_y
_atom_site_fract_z
Y1 0.0000 0.0000 0.0000
Mg1 0.0000 0.0000 0.5000
Tc1 0.2500 0.2500 0.7500
Mo1 0.2500 0.2500 0.2500
# Total moment   2.2 μB/f.u.
# Theoretical density   6.8 Mg/m³

x | # YMgTcMo (GGA-PBE, optimized geometry)
data_YMgTcMo
_chemical_formula_sum 'Y4 Mg4 Tc4 Mo4'
_cell_length_a 6.6721
_cell_length_b 6.6721
_cell_length_c 6.6721
_cell_angle_alpha 90.00
_cell_angle_beta 90.00
_cell_angle_gamma 90.00
_symmetry_space_group_name_H-M 'F -4 3 m'
_symmetry_Int_Tables_number 216
_symmetry_space_group_name_Hall 'F -4 2 3'
loop_
_atom_site_label
_atom_site_fract_x
_atom_site_fract_y
_atom_site_fract_z
Y1 0.0000 0.0000 0.0000
Mg1 0.2500 0.2500 0.2500
Tc1 0.2500 0.2500 0.7500
Mo1 0.0000 0.0000 0.5000
# Total moment   0.0 μB/f.u.
# Theoretical density   6.9 Mg/m³

Here are the energies relative to the best structure, in kJ/mol of atoms: w 34.0; x 0.0.